First-principles (meta-GGA SCAN) data for a crystal of Al2Te2Cl7 relaxed with PBEsol, as listed in Alexandria via LeMat-Bulk.

* E: -641.616 eV per cell
* crystal system: monoclinic

a b c (Å): 9.1844 11.0753 13.1545
angles (deg): 90.00 92.46 90.00
Fractional positions:
Te  0.4320  0.1574  0.9629
Te  0.3229  0.5680  0.4444
Te  0.6771  0.0680  0.0556
Te  0.4320  0.3426  0.4629
Te  0.6771  0.4320  0.5556
Te  0.5680  0.6574  0.5371
Te  0.5680  0.8426  0.0371
Te  0.3229  0.9320  0.9444
Cl  0.0227  0.5261  0.8557
Cl  0.3183  0.8569  0.4902
Cl  0.1103  0.1701  0.8637
Cl  0.9605  0.6611  0.3705
Cl  0.3653  0.0835  0.3009
Cl  0.3653  0.4165  0.8009
Cl  0.3296  0.3732  0.1532
Cl  0.7310  0.2182  0.7692
Cl  0.0395  0.1611  0.1295
Cl  0.1103  0.3299  0.3637
Cl  0.6347  0.9165  0.6991
Cl  0.9773  0.0261  0.6443
Cl  0.3296  0.1268  0.6532
Cl  0.0227  0.9739  0.3557
Cl  0.8897  0.6701  0.6363
Cl  0.2690  0.7182  0.7308
Cl  0.6817  0.1431  0.5098
Cl  0.8897  0.8299  0.1363
Cl  0.6704  0.6268  0.8468
Cl  0.9773  0.4739  0.1443
Cl  0.6817  0.3569  0.0098
Cl  0.3183  0.6431  0.9902
Cl  0.6347  0.5835  0.1991
Cl  0.6704  0.8732  0.3468
Cl  0.9605  0.8389  0.8705
Cl  0.2690  0.7818  0.2308
Cl  0.7310  0.2818  0.2692
Cl  0.0395  0.3389  0.6295
Al  0.2594  0.5786  0.8400
Al  0.1224  0.1809  0.7010
Al  0.7406  0.4214  0.1600
Al  0.2594  0.9214  0.3400
Al  0.8776  0.6809  0.7990
Al  0.7406  0.0786  0.6600
Al  0.8776  0.8191  0.2990
Al  0.1224  0.3191  0.2010



First-principles (meta-GGA SCAN) data for a crystal of AlTeCl relaxed with PBEsol, as listed in Alexandria via LeMat-Bulk.

* E: -55.362 eV per cell
* crystal system: trigonal

a b c (Å): 3.8216 3.8216 6.4116
angles (deg): 90.00 90.00 120.00
Fractional positions:
Te  0.3333  0.6667  0.2267
Cl  0.6667  0.3333  0.7691
Al  0.0000  0.0000  0.0042



First-principles (meta-GGA SCAN) data for a crystal of AlTeCl relaxed with PBEsol, as listed in Alexandria via LeMat-Bulk.

* E: -51.272 eV per cell
* crystal system: cubic
* density of states at the Fermi level: 2.3 states/eV/cell

a b c (Å): 4.7748 4.7748 4.7748
angles (deg): 60.00 60.00 60.00
Fractional positions:
Cl  0.2500  0.2500  0.2500
Te  0.0000  0.0000  0.0000
Al  0.5000  0.5000  0.5000



First-principles (meta-GGA SCAN) data for a crystal of AlTlCl2 relaxed with PBEsol, as listed in Alexandria via LeMat-Bulk.

* E: -98.999 eV per cell
* energy above the most stable polymorph in this dataset: 0 meV/atom
* crystal system: tetragonal
* density of states at the Fermi level: 0.0 states/eV/cell

a b c (Å): 3.9142 3.9142 6.5673
angles (deg): 90.00 90.00 90.00
Fractional positions:
Tl  0.0000  0.0000  0.4691
Cl  0.5000  0.5000  0.2233
Cl  0.0000  0.0000  0.9397
Al  0.5000  0.5000  0.8679



First-principles (meta-GGA SCAN) data for a crystal of AlTl2Cl relaxed with PBEsol, as listed in Alexandria via LeMat-Bulk.

* E: -160.901 eV per cell
* energy above the most stable polymorph in this dataset: 116 meV/atom
* crystal system: orthorhombic
* density of states at the Fermi level: 1.8 states/eV/cell

a b c (Å): 3.3345 3.3345 9.1209
angles (deg): 90.00 90.00 104.90
Fractional positions:
Al  0.5000  0.5000  0.5000
Cl  0.5000  0.5000  0.0000
Tl  0.0000  0.0000  0.2427
Tl  0.0000  0.0000  0.7573



First-principles (meta-GGA SCAN) data for a crystal of AlTl2Cl relaxed with PBEsol, as listed in Alexandria via LeMat-Bulk.

* E: -161.357 eV per cell
* energy above the most stable polymorph in this dataset: 1 meV/atom
* crystal system: orthorhombic
* density of states at the Fermi level: 1.4 states/eV/cell

a b c (Å): 3.3500 3.3831 9.9892
angles (deg): 90.00 90.00 119.68
Fractional positions:
Tl  0.5000  0.0000  0.2804
Tl  0.0000  0.0000  0.9948
Cl  0.5000  0.0000  0.7020
Al  0.0000  0.0000  0.5228